Here is Tl3Ag2PbCl9 after structural relaxation from the Alexandria database. Energies are from PBE-GGA.

Output
Magnetization ... 0.00 μB/cell
SG ... No. 164
Uncorrected formation energy ... -0.771 eV per atom

Cell lengths 7.4311, 7.4311, 9.2819 Å; angles 90.00, 90.00, 120.00 degrees
Fractional coordinates of all 15 atoms:
Tl1 0.0000 0.0000 0.0000
Tl2 0.3333 0.6667 0.7316
Tl3 0.6667 0.3333 0.2684
Ag1 0.3333 0.6667 0.1635
Ag2 0.6667 0.3333 0.8365
Pb1 0.0000 0.0000 0.5000
Cl1 0.0000 0.5000 0.0000
Cl2 0.1676 0.3351 0.3233
Cl3 0.1676 0.8324 0.3233
Cl4 0.3351 0.1676 0.6767
Cl5 0.5000 0.0000 0.0000
Cl6 0.5000 0.5000 0.0000
Cl7 0.6649 0.8324 0.3233
Cl8 0.8324 0.1676 0.6767
Cl9 0.8324 0.6649 0.6767

Here is TlAg2PbCl8 after structural relaxation from the Alexandria database. Energies are from PBE-GGA.

Output
Magnetization ... 0.00 μB/cell
SG ... No. 10
Uncorrected formation energy ... -0.653 eV per atom

Cell lengths 6.4588, 8.0569, 6.7461 Å; angles 90.00, 95.43, 90.00 degrees
Fractional coordinates of all 12 atoms:
Tl1 0.0000 0.0000 0.0000
Ag1 0.5000 0.2483 0.5000
Ag2 0.5000 0.7517 0.5000
Pb1 0.0000 0.5000 0.0000
Cl1 0.2162 0.2273 0.8362
Cl2 0.2162 0.7727 0.8362
Cl3 0.2905 0.0000 0.3350
Cl4 0.2941 0.5000 0.3470
Cl5 0.7059 0.5000 0.6530
Cl6 0.7095 0.0000 0.6650
Cl7 0.7838 0.2273 0.1638
Cl8 0.7838 0.7727 0.1638

Here is VAgPbCl6 after structural relaxation from the Alexandria database. Energies are from PBE-GGA.

Output
Magnetization ... 4.00 μB/cell
SG ... No. 163
Uncorrected formation energy ... -0.990 eV per atom

Cell lengths 6.8537, 6.8537, 11.5354 Å; angles 90.00, 90.00, 120.00 degrees
Fractional coordinates of all 18 atoms:
V1 0.3333 0.6667 0.2500
V2 0.6667 0.3333 0.7500
Ag1 0.0000 0.0000 0.0000
Ag2 0.0000 0.0000 0.5000
Pb1 0.3333 0.6667 0.7500
Pb2 0.6667 0.3333 0.2500
Cl1 0.0533 0.3763 0.1283
Cl2 0.0533 0.6770 0.3717
Cl3 0.3230 0.3763 0.3717
Cl4 0.3230 0.9467 0.1283
Cl5 0.3763 0.0533 0.6283
Cl6 0.3763 0.3230 0.8717
Cl7 0.6237 0.6770 0.1283
Cl8 0.6237 0.9467 0.3717
Cl9 0.6770 0.0533 0.8717
Cl10 0.6770 0.6237 0.6283
Cl11 0.9467 0.3230 0.6283
Cl12 0.9467 0.6237 0.8717

Here is VAg2PbCl6 after structural relaxation from the Alexandria database. Energies are from PBE-GGA.

Output
Magnetization ... 3.00 μB/cell
SG ... No. 146
Uncorrected formation energy ... -0.835 eV per atom

Cell lengths 7.4588, 7.4588, 7.4588 Å; angles 54.97, 54.97, 54.97 degrees
Fractional coordinates of all 10 atoms:
V1 0.0000 0.0000 0.0000
Ag1 0.2695 0.2695 0.2695
Ag2 0.6940 0.6940 0.6940
Pb1 0.4906 0.4906 0.4906
Cl1 0.0835 0.7771 0.3658
Cl2 0.2342 0.6387 0.9025
Cl3 0.3658 0.0835 0.7771
Cl4 0.6387 0.9025 0.2342
Cl5 0.7771 0.3658 0.0835
Cl6 0.9025 0.2342 0.6387

Here is YAgPbCl2 after structural relaxation from the Alexandria database. Energies are from PBE-GGA.

Output
Magnetization ... 0.00 μB/cell
SG ... No. 123
Uncorrected formation energy ... -0.024 eV per atom

Cell lengths 5.3799, 5.3799, 6.3929 Å; angles 90.00, 90.00, 90.00 degrees
Fractional coordinates of all 5 atoms:
Y1 0.0000 0.0000 0.0000
Ag1 0.5000 0.5000 0.0000
Pb1 0.0000 0.0000 0.5000
Cl1 0.0000 0.5000 0.5000
Cl2 0.5000 0.0000 0.5000

Here is ZrAgPb2Cl after structural relaxation from the Alexandria database. Energies are from PBE-GGA.

Output
Magnetization ... 0.40 μB/cell
SG ... No. 123
Uncorrected formation energy ... 0.572 eV per atom

Cell lengths 5.4998, 5.4998, 4.7711 Å; angles 90.00, 90.00, 90.00 degrees
Fractional coordinates of all 5 atoms:
Zr1 0.0000 0.0000 0.0000
Ag1 0.5000 0.5000 0.0000
Pb1 0.0000 0.5000 0.5000
Pb2 0.5000 0.0000 0.5000
Cl1 0.5000 0.5000 0.5000